A plane-wave DFT calculation with PBE-GGA was carried out for a geometry-optimized La2HfPbW structure.

Cell lengths 5.9735, 5.3136, 5.9735 Å; angles 90.00, 90.00, 90.00 degrees
Each line ends with the local moment (μB).
Sites, in units of the cell vectors:
Pb 0.0000 0.0000 0.0000  0.02
Hf 0.0000 0.5000 0.0000  -0.30
W 0.5000 0.5000 0.5000  2.77
La 0.0000 0.0000 0.5000  -0.05
La 0.5000 0.0000 0.0000  -0.05

Volume ... 37.92 A^3/atom
N(E_F) ... 2.01 states/eV/atom
Energy ... -28.6 eV per formula unit
Calculated formation energy ... 764 kJ/mol of formula units

---

A plane-wave DFT calculation with PBE-GGA was carried out for a geometry-optimized Al2S2O structure.

Cell lengths 3.5393, 5.9473, 9.6658 Å; angles 83.41, 100.55, 90.00 degrees
Sites, in units of the cell vectors:
Al 0.1419 0.8462 0.2837
Al 0.8581 0.1538 0.7163
Al 0.3123 0.5680 0.6246
Al 0.6877 0.4320 0.3754
S 0.1492 0.2154 0.2984
S 0.8508 0.7846 0.7016
S 0.4145 0.2843 0.8289
S 0.5855 0.7157 0.1711
O 0.2161 0.6308 0.4322
O 0.7839 0.3692 0.5678

Volume ... 19.87 A^3/atom
N(E_F) ... 0.00 states/eV/atom
Energy ... -28.9 eV per formula unit
E_form (uncorrected) ... -1647 meV per atom

---

A plane-wave DFT calculation with PBE-GGA was carried out for a geometry-optimized Y2TeRu2 structure.

Cell lengths 7.2053, 7.2053, 4.1745 Å; angles 90.00, 90.00, 90.00 degrees
Sites, in units of the cell vectors:
Y 0.1783 0.6783 0.5000
Y 0.6783 0.8217 0.5000
Y 0.8217 0.3217 0.5000
Y 0.3217 0.1783 0.5000
Ru 0.3795 0.8795 0.0000
Ru 0.8795 0.6205 0.0000
Ru 0.6205 0.1205 0.0000
Ru 0.1205 0.3795 0.0000
Te 0.0000 0.0000 0.0000
Te 0.5000 0.5000 0.0000

Volume ... 21.67 A^3/atom
N(E_F) ... 1.31 states/eV/atom
Energy ... -36.5 eV per formula unit
E_form (uncorrected) ... -383 meV per atom

---

A plane-wave DFT calculation with PBE-GGA was carried out for a geometry-optimized Nd2Al2Tc2C structure.

Cell lengths 3.7642, 6.0418, 7.7103 Å; angles 56.38, 90.02, 71.88 degrees
Sites, in units of the cell vectors:
Nd 0.4280 0.1448 0.7128
Nd 0.5720 0.8552 0.2872
Al 0.8622 0.2759 0.3225
Al 0.1378 0.7241 0.6775
Tc 0.8068 0.3862 0.9362
Tc 0.1932 0.6138 0.0638
C 0.0000 0.0000 0.0000

Volume ... 19.35 A^3/atom
N(E_F) ... 0.44 states/eV/atom
Energy ... -49.5 eV per formula unit
Calculated formation energy ... -239 kJ/mol of formula units

---

Question: Which formula does entry 2 have?
Answer: Al2S2O

---

Question: Number 3 is which compound?
Answer: Y2TeRu2

---

Question: Which of these has the highest volume?
Answer: La2HfPbW

---

Question: Number 3 is which compound?
Answer: Y2TeRu2